No. 1
Below is a relaxed structure of GaSnBi2C, with properties calculated at the PBE-GGA level.

Its formation energy is 0.8704 eV per atom. The volume is 24.74 Å³/atom.

It has space group P4/mmm (No. 123), with a = 4.9929 Å, b = 4.9929 Å, c = 4.9626 Å, α = 90.00°, β = 90.00° and γ = 90.00°. The asymmetric unit holds Ga at (0.0000, 0.0000, 0.0000), Sn at (0.5000, 0.5000, 0.0000), Bi at (0.0000, 0.5000, 0.5000) and C at (0.5000, 0.5000, 0.5000).

No. 2
Below is a relaxed structure of CrHS, with properties calculated at the PBE-GGA level.

As for the total energy: -16.1 eV/cell. The volume is 10.73 Å³/atom.

It has space group P4mm (No. 99), with a = 2.4728 Å, b = 2.4728 Å, c = 5.2648 Å, α = 90.00°, β = 90.00° and γ = 90.00°. The asymmetric unit holds Cr at (0.0000, 0.0000, 0.0000), H at (0.5000, 0.5000, 0.8858) and S at (0.0000, 0.0000, 0.4314).

No. 3
Below is a relaxed structure of ReAgAs2, with properties calculated at the PBE-GGA level.

Its formation energy is 0.1711 eV per atom. The volume is 17.42 Å³/atom.

It has space group P4/mmm (No. 123), with a = 3.0930 Å, b = 3.0930 Å, c = 7.2833 Å, α = 90.00°, β = 90.00° and γ = 90.00°. The asymmetric unit holds Re at (0.0000, 0.0000, 0.0000), Ag at (0.0000, 0.0000, 0.5000) and As at (0.5000, 0.5000, 0.2078).

No. 4
Below is a relaxed structure of BaPr2Nd, with properties calculated at the PBE-GGA level.

Its formation energy is 0.0970 eV per atom. The volume is 40.38 Å³/atom.

It has space group P4/mmm (No. 123), with a = 3.8051 Å, b = 3.8051 Å, c = 11.1563 Å, α = 90.00°, β = 90.00° and γ = 90.00°. The asymmetric unit holds Ba at (0.0000, 0.0000, 0.0000), Pr at (0.5000, 0.5000, 0.2791) and Nd at (0.0000, 0.0000, 0.5000).

No. 5
Below is a relaxed structure of Li3NbH, with properties calculated at the PBE-GGA level.

As for the total energy: -16.2 eV/cell. The volume is 14.61 Å³/atom.

It has space group Pm-3m (No. 221), with a = 4.1807 Å, b = 4.1807 Å, c = 4.1807 Å, α = 90.00°, β = 90.00° and γ = 90.00°. The asymmetric unit holds Li at (0.0000, 0.0000, 0.5000), Nb at (0.5000, 0.5000, 0.5000) and H at (0.0000, 0.0000, 0.0000).

No. 6
Below is a relaxed structure of Lu2MnCo, with properties calculated at the PBE-GGA level.

Its formation energy is -0.0154 eV per atom. The volume is 19.14 Å³/atom.

It has space group Fm-3m (No. 225), with a = 6.7405 Å, b = 6.7405 Å, c = 6.7405 Å, α = 90.00°, β = 90.00° and γ = 90.00°. The asymmetric unit holds Lu at (0.2500, 0.2500, 0.2500), Mn at (0.0000, 0.0000, 0.0000) and Co at (0.0000, 0.0000, 0.5000).

No. 7
Below is a relaxed structure of BaCr4Br, with properties calculated at the PBE-GGA level.

The volume is 20.27 Å³/atom. The value obtained for the formation energy (no corrections) is 7.28 eV/f.u.

It has space group F-43m (No. 216), with a = 7.8649 Å, b = 7.8649 Å, c = 7.8649 Å, α = 90.00°, β = 90.00° and γ = 90.00°. The asymmetric unit holds Ba at (0.0000, 0.0000, 0.0000), Cr at (0.1460, 0.1460, 0.3540) and Br at (0.2500, 0.2500, 0.7500).

No. 8
Below is a relaxed structure of Rb3Pm2ScO6, with properties calculated at the PBE-GGA level.

The volume is 17.59 Å³/atom. The value obtained for the formation energy (no corrections) is -31.05 eV/f.u.

It has space group C2/m (No. 12), with a = 6.0973 Å, b = 10.5630 Å, c = 6.8608 Å, α = 90.00°, β = 107.17° and γ = 90.00°. The asymmetric unit holds Rb at (0.0000, 0.0000, 0.0000), Rb at (0.0000, 0.3360, 0.0000), Pm at (0.0000, 0.1667, 0.5000), Sc at (0.0000, 0.5000, 0.5000), O at (0.2142, 0.3442, 0.6752) and O at (0.2464, 0.0000, 0.6753).